A relaxed structure of BaTaAsBr2, computed with PBE.

Structure (POSCAR):
```
BaTaAsBr2
1.0
5.2930 0.0000 0.0000
0.0000 5.2930 0.0000
0.0000 0.0000 5.1175
Ba Ta As Br
1 1 1 2
Direct
0.0000 0.0000 0.0000
0.5000 0.5000 0.5000
0.5000 0.5000 0.0000
0.0000 0.5000 0.5000
0.5000 0.0000 0.5000
```

Computed properties:
E = -5.0033 eV/atom
formation energy (no corrections) = -15.0 kcal/mol of atoms
space-group type = P4/mmm (123)
relative energy among the computed polymorphs = 0 meV per atom



A relaxed structure of CuSi2BS, computed with PBE.

Structure (POSCAR):
```
CuSi2BS
1.0
4.4559 0.0000 0.0000
0.0000 4.4559 0.0000
0.0000 0.0000 4.6169
Cu Si B S
1 2 1 1
Direct
0.0000 0.0000 0.0000
0.0000 0.5000 0.0000
0.5000 0.0000 0.0000
0.5000 0.5000 0.5000
0.0000 0.0000 0.5000
```

Computed properties:
E = -3.6696 eV/atom
formation energy (no corrections) = 34.1 kcal/mol of atoms
space-group type = P4/mmm (123)



A relaxed structure of AlAgHg, computed with PBE.

Structure (POSCAR):
```
AlAgHg
1.0
3.1558 0.0000 0.0000
-1.5779 2.7330 0.0000
0.0000 0.0000 6.7268
Al Ag Hg
1 1 1
Direct
0.0000 0.0000 0.0000
0.3333 0.6667 0.6982
0.6667 0.3333 0.3397
```

Computed properties:
E = -2.2435 eV/atom
space-group type = P3m1 (156)
formation energy from the elements = 0.06 eV per atom
relative energy among the computed polymorphs = 0 meV per atom



A relaxed structure of SbOsPt2, computed with PBE.

Structure (POSCAR):
```
SbOsPt2
1.0
3.0671 0.0000 0.0000
0.0000 4.4974 0.0000
0.0000 0.0000 4.8986
Sb Os Pt
1 1 2
Direct
0.0000 0.0000 0.0000
0.0000 0.5000 0.6573
0.5000 0.0000 0.5235
0.5000 0.5000 0.1828
```

Computed properties:
E = -6.6222 eV/atom
formation energy (no corrections) = 5.4 kcal/mol of atoms
space-group type = Pmm2 (25)